[1]
Density functional theory data (PBE) for a relaxed PmPr2Sm4Tl2 crystal.

Summary:
- ΔH_f (0 K) (eV per atom) = -0.108

Cell: 6.453 6.478 8.653 Å, 88.78 69.31 62.31°
Element x y z (fractional)
Pm1 0.000 0.000 0.000
Pr1 0.396 0.370 0.896
Pr2 0.604 0.630 0.104
Sm1 0.186 0.733 0.562
Sm2 0.412 0.176 0.313
Sm3 0.588 0.824 0.687
Sm4 0.814 0.267 0.438
Tl1 0.039 0.310 0.713
Tl2 0.961 0.690 0.287


[2]
Density functional theory data (PBE) for a relaxed SiSnBC2 crystal.

Summary:
- energy relative to the elements, uncorrected (eV/atom) = 1.926

Cell: 3.627 3.627 4.692 Å, 90.00 90.00 90.00°
Element x y z (fractional)
Si1 0.000 0.000 0.000
Sn1 0.500 0.500 0.000
B1 0.000 0.000 0.500
C1 0.000 0.500 0.500
C2 0.500 0.000 0.500


It is found that the calculated volume values, taken in the order of the records, are 32.8 12.3 Å³ per atom.